Record 1
# HoThHg3 PBE relaxed
data_HoThHg3
_cell_length_a 5.388
_cell_length_b 6.375
_cell_length_c 15.859
_cell_angle_alpha 90.00
_cell_angle_beta 90.00
_cell_angle_gamma 90.00
_symmetry_space_group_name_H-M 'I m m a'
_symmetry_Int_Tables_number 74
_symmetry_space_group_name_Hall '-I 2b 2'
loop_
_atom_site_label
_atom_site_type_symbol
_atom_site_fract_x
_atom_site_fract_y
_atom_site_fract_z
_atom_site_occupancy
Ho1 Ho 0.000 0.250 0.105 1
Th1 Th 0.000 0.250 0.690 1
Hg1 Hg 0.000 0.250 0.296 1
Hg2 Hg 0.000 0.250 0.491 1
Hg3 Hg 0.000 0.250 0.907 1
# ΔE to the lowest computed polymorph: 160 meV/atom
# formation energy from the elements: -0.162 eV/atom
# DOS at the Fermi energy: 2.966 states/eV/f.u.
# density: 12177 kg/m3


Record 2
# Ho4ThHg5 PBE relaxed
data_Ho4ThHg5
_cell_length_a 3.693
_cell_length_b 3.693
_cell_length_c 18.975
_cell_angle_alpha 90.00
_cell_angle_beta 90.00
_cell_angle_gamma 90.00
_symmetry_space_group_name_H-M 'P 4/m m m'
_symmetry_Int_Tables_number 123
_symmetry_space_group_name_Hall '-P 4 2'
loop_
_atom_site_label
_atom_site_type_symbol
_atom_site_fract_x
_atom_site_fract_y
_atom_site_fract_z
_atom_site_occupancy
Ho1 Ho 0.000 0.000 0.098 1
Ho2 Ho 0.000 0.000 0.294 1
Th1 Th 0.000 0.000 0.500 1
Hg1 Hg 0.500 0.500 0.000 1
Hg2 Hg 0.500 0.500 0.196 1
Hg3 Hg 0.500 0.500 0.388 1
# formation energy from the elements: -0.425 eV/atom
# DOS at the Fermi energy: 10.339 states/eV/f.u.
# density: 12157 kg/m3


Record 3
# Ho3ThHg4 PBE relaxed
data_Ho3ThHg4
_cell_length_a 10.501
_cell_length_b 7.598
_cell_length_c 5.250
_cell_angle_alpha 90.00
_cell_angle_beta 90.00
_cell_angle_gamma 90.00
_symmetry_space_group_name_H-M 'P m m a'
_symmetry_Int_Tables_number 51
loop_
_symmetry_equiv_pos_as_xyz
'x,y,z'
'-x,-y,-z'
'-x+1/2,-y,z'
'x+1/2,y,-z'
'x+1/2,-y,-z'
'-x+1/2,y,z'
'-x,y,-z'
'x,-y,z'
loop_
_atom_site_label
_atom_site_type_symbol
_atom_site_fract_x
_atom_site_fract_y
_atom_site_fract_z
_atom_site_occupancy
Ho1 Ho 0.000 0.000 0.000 1
Ho2 Ho 0.250 0.000 0.499 1
Ho3 Ho 0.250 0.500 0.499 1
Th1 Th 0.000 0.500 0.000 1
Hg1 Hg 0.000 0.237 0.500 1
Hg2 Hg 0.250 0.237 0.998 1
# formation energy from the elements: -0.391 eV/atom
# DOS at the Fermi energy: 8.209 states/eV/f.u.
# density: 12124 kg/m3


Record 4
# HoTh2Hg PBE relaxed
data_HoTh2Hg
_cell_length_a 3.516
_cell_length_b 3.516
_cell_length_c 9.778
_cell_angle_alpha 90.00
_cell_angle_beta 90.00
_cell_angle_gamma 90.00
_symmetry_space_group_name_H-M 'P 4/m m m'
_symmetry_Int_Tables_number 123
_symmetry_space_group_name_Hall '-P 4 2'
loop_
_atom_site_label
_atom_site_type_symbol
_atom_site_fract_x
_atom_site_fract_y
_atom_site_fract_z
_atom_site_occupancy
Ho1 Ho 0.000 0.000 0.000 1
Th1 Th 0.500 0.500 0.267 1
Hg1 Hg 0.000 0.000 0.500 1
# ΔE to the lowest computed polymorph: 34 meV/atom
# formation energy from the elements: -0.042 eV/atom
# DOS at the Fermi energy: 4.447 states/eV/f.u.
# density: 11399 kg/m3


Record 5
# HoTh4Hg5 PBE relaxed
data_HoTh4Hg5
_cell_length_a 3.471
_cell_length_b 3.471
_cell_length_c 22.357
_cell_angle_alpha 90.00
_cell_angle_beta 90.00
_cell_angle_gamma 90.00
_symmetry_space_group_name_H-M 'P 4/m m m'
_symmetry_Int_Tables_number 123
_symmetry_space_group_name_Hall '-P 4 2'
loop_
_atom_site_label
_atom_site_type_symbol
_atom_site_fract_x
_atom_site_fract_y
_atom_site_fract_z
_atom_site_occupancy
Ho1 Ho 0.000 0.000 0.000 1
Th1 Th 0.000 0.000 0.194 1
Th2 Th 0.000 0.000 0.398 1
Hg1 Hg 0.500 0.500 0.091 1
Hg2 Hg 0.500 0.500 0.296 1
Hg3 Hg 0.500 0.500 0.500 1
# formation energy from the elements: -0.271 eV/atom
# DOS at the Fermi energy: 11.338 states/eV/f.u.
# density: 12922 kg/m3


Record 6
# HoTh2Hg6 PBE relaxed
data_HoTh2Hg6
_cell_length_a 8.7473
_cell_length_b 8.7473
_cell_length_c 3.3977
_cell_angle_alpha 90.00
_cell_angle_beta 90.00
_cell_angle_gamma 120.00
_symmetry_space_group_name_H-M 'P 6/m m m'
_symmetry_Int_Tables_number 191
_symmetry_space_group_name_Hall '-P 6 2'
loop_
_atom_site_label
_atom_site_type_symbol
_atom_site_fract_x
_atom_site_fract_y
_atom_site_fract_z
_atom_site_occupancy
Ho1 Ho 0.0000 0.0000 0.0000 1
Th1 Th 0.3333 0.6667 0.0000 1
Hg1 Hg 0.0000 0.3296 0.5000 1
# formation energy from the elements: -0.296 eV/atom
# DOS at the Fermi energy: 3.896 states/eV/f.u.
# density: 13516 kg/m3